Computed, not measured: a geometry-optimized CdAs structure at the PBE level of DFT.

Computed properties:
**Density of states at the Fermi level**: 1.748 states/eV/f.u.
**Energy relative to the elements**: 0.289 eV per atom
**Space-group type**: P6_3/mmc
**Calculated total energy**: -2.49 eV per atom

Structure (extended XYZ):
```
8
Lattice="2.432 -4.213 0.000 2.432 4.213 0.000 0.000 0.000 9.052" Properties=species:S:1:pos:R:3 pbc="T T T"
Cd 2.432 1.404 0.679
Cd 2.432 -1.404 5.205
Cd 2.432 -1.404 8.373
Cd 2.432 1.404 3.847
As 0.000 0.000 2.263
As 0.000 0.000 6.789
As 2.432 1.404 6.789
As 2.432 -1.404 2.263
```